No. 1
Density functional theory data (PBE-GGA) for a relaxed CaSiSe2 crystal.

The structure in POSCAR format:
```
CaSiSe2
1.0
-2.187 -2.573 -1.223
2.995 -1.990 -1.169
0.299 -3.215 6.230
Si Se Ca
1 2 1
direct
0.500 0.250 0.250
0.000 0.250 0.516
0.000 0.250 0.984
0.500 0.750 0.750
```


No. 2
Density functional theory data (PBE-GGA) for a relaxed CaSiSe2 crystal.

The structure in POSCAR format:
```
CaSiSe2
1.0
4.078 0.000 0.000
0.000 4.078 0.000
0.000 0.000 5.892
Se Si Ca
2 1 1
direct
0.500 0.500 0.372
0.000 0.000 0.917
0.000 0.000 0.336
0.500 0.500 0.875
```


No. 3
Density functional theory data (PBE-GGA) for a relaxed CaSiSe2 crystal.

The structure in POSCAR format:
```
CaSiSe2
1.0
7.179 0.007 -0.002
5.158 4.994 0.002
-6.164 -2.512 2.690
Se Si Ca
2 1 1
direct
0.299 0.799 0.500
0.032 0.032 0.000
0.460 0.460 0.000
0.709 0.209 0.500
```


no.,V (Å³/f.u.),uncorrected formation energy (meV per atom),magnetization (μB per formula unit)
1,95.3,-703.0,0.00
2,98.0,-941.8,0.00
3,96.4,-704.7,0.00